1.
An optimized crystal structure of Pr8Cd2Bi. Source: Alexandria, functional PBE.

Values from the calculation:
Density of states at the Fermi level (states/eV per atom): 1.20
Energy of formation (kJ/mol of atoms): -22
V (A^3/atom): 32.30
DFT total energy (eV per atom): -4.228
M_tot (μB per formula unit): 0.0
Crystal system: monoclinic
Space-group type: C2/m (12)

Cell: 9.1538 9.1538 8.4446 Å, 111.34 111.34 32.86°
Positions (direct):
1 Pr 0.0535 0.0535 0.2338
2 Pr 0.1473 0.1473 0.7105
3 Pr 0.3192 0.3192 0.5539
4 Pr 0.4038 0.4038 0.0486
5 Pr 0.5962 0.5962 0.9514
6 Pr 0.6808 0.6808 0.4461
7 Pr 0.8527 0.8527 0.2895
8 Pr 0.9465 0.9465 0.7662
9 Cd 0.2208 0.2208 0.1408
10 Cd 0.7792 0.7792 0.8592
11 Bi 0.5000 0.5000 0.5000

---

2.
An optimized crystal structure of Pr4Cd3Bi. Source: Alexandria, functional PBE.

Values from the calculation:
Density of states at the Fermi level (states/eV per atom): 1.46
Energy of formation (kJ/mol of atoms): -41
V (A^3/atom): 30.06
DFT total energy (eV per atom): -3.638
M_tot (μB per formula unit): 0.3
Crystal system: tetragonal
Space-group type: P4/mmm (123)

Cell: 4.0204 4.0204 14.8796 Å, 90.00 90.00 90.00°
Positions (direct):
1 Pr 0.0000 0.0000 0.1252
2 Pr 0.0000 0.0000 0.3739
3 Pr 0.0000 0.0000 0.6261
4 Pr 0.0000 0.0000 0.8748
5 Cd 0.5000 0.5000 0.2549
6 Cd 0.5000 0.5000 0.5000
7 Cd 0.5000 0.5000 0.7451
8 Bi 0.5000 0.5000 0.0000

---

3.
An optimized crystal structure of Pr4CdBi. Source: Alexandria, functional PBE.

Values from the calculation:
Density of states at the Fermi level (states/eV per atom): 1.10
Energy of formation (kJ/mol of atoms): -34
V (A^3/atom): 32.39
DFT total energy (eV per atom): -4.341
M_tot (μB per formula unit): 0.0
Crystal system: monoclinic
Space-group type: C2/c (15)

Cell: 8.6451 8.6451 6.2413 Å, 101.08 101.08 116.49°
Positions (direct):
1 Pr 0.0884 0.7059 0.9406
2 Pr 0.2167 0.3987 0.6440
3 Pr 0.2941 0.9116 0.5594
4 Pr 0.3987 0.2167 0.1440
5 Pr 0.6013 0.7833 0.8560
6 Pr 0.7059 0.0884 0.4406
7 Pr 0.7833 0.6013 0.3560
8 Pr 0.9116 0.2941 0.0594
9 Cd 0.0015 0.9985 0.2500
10 Cd 0.9985 0.0015 0.7500
11 Bi 0.3863 0.6137 0.2500
12 Bi 0.6137 0.3863 0.7500

---

4.
An optimized crystal structure of Pr5Cd2Bi. Source: Alexandria, functional PBE.

Values from the calculation:
Density of states at the Fermi level (states/eV per atom): 0.91
Energy of formation (kJ/mol of atoms): -36
V (A^3/atom): 32.18
DFT total energy (eV per atom): -4.074
M_tot (μB per formula unit): 0.0
Crystal system: tetragonal
Space-group type: I4/mcm (140)

Cell: 9.0761 9.0761 9.0761 Å, 121.65 121.65 87.17°
Positions (direct):
1 Pr 0.0000 0.0000 0.0000
2 Pr 0.0048 0.5048 0.8078
3 Pr 0.1969 0.0048 0.5000
4 Pr 0.3031 0.8031 0.8078
5 Pr 0.4952 0.3031 0.5000
6 Pr 0.5000 0.5000 0.0000
7 Pr 0.5048 0.6969 0.5000
8 Pr 0.6969 0.1969 0.1922
9 Pr 0.8031 0.9952 0.5000
10 Pr 0.9952 0.4952 0.1922
11 Cd 0.1409 0.3591 0.5000
12 Cd 0.3591 0.8591 0.2183
13 Cd 0.6409 0.1409 0.7817
14 Cd 0.8591 0.6409 0.5000
15 Bi 0.2500 0.2500 0.0000
16 Bi 0.7500 0.7500 0.0000